An optimized crystal structure of Cs2UBr5F. Source: Alexandria via LeMat-Bulk, functional PBE.

Cell: 7.9473 7.9473 7.9473 Å, 93.52 117.99 117.99°
Site moments in Bohr magnetons follow the coordinates.
Fractional coordinates of all 9 atoms:
F: 0.0000 0.8024 0.8024  -0.03
Cs: 0.5000 0.2431 0.7431  0.00
Cs: 0.5000 0.7431 0.2431  0.00
Br: 0.0000 0.2469 0.2469  -0.04
Br: 0.5129 0.7496 0.7496  -0.02
Br: 0.4871 0.2367 0.2367  -0.02
Br: 0.0000 0.7496 0.2367  -0.02
Br: 0.0000 0.2367 0.7496  -0.02
U: 0.0000 0.9920 0.9920  2.08

Calculated values
SG: I4mm, No. 107
Formation energy from raw total energies: -183 kJ per mole of atoms